# 1
A geometry-optimized LaTb3Au2 structure. Source: Alexandria via LeMat-Bulk, functional GGA-PBE.

extended XYZ file:
```
12
Lattice="8.161 -2.625 0.000 8.161 2.625 0.000 -3.748 0.000 7.865" Properties=species:S:1:pos:R:3 pbc="T T T"
La 1.431 0.000 1.573
La 11.143 0.000 6.292
Tb -1.696 0.000 5.722
Tb 1.230 0.000 7.845
Tb 4.316 0.000 3.849
Tb 8.259 0.000 4.017
Tb 11.345 0.000 0.021
Tb 14.270 0.000 2.144
Au 1.210 0.000 4.870
Au 7.515 0.000 1.261
Au 5.060 0.000 6.605
Au 11.364 0.000 2.995
```

Calculated values
E: -4.727 eV per atom
Energy of formation from the pure elements: -0.50 eV per atom



# 2
A geometry-optimized La2Tb2Au3 structure. Source: Alexandria via LeMat-Bulk, functional GGA-PBE.

extended XYZ file:
```
14
Lattice="-4.577 4.577 4.577 4.577 -4.577 4.577 4.577 4.577 -4.577" Properties=species:S:1:pos:R:3 pbc="T T T"
La 3.906 0.670 -0.670
La 0.670 0.670 0.670
La 0.670 -0.670 3.906
La -0.670 3.906 0.670
Tb 6.241 -1.664 1.664
Tb 1.664 6.241 -1.664
Tb 2.912 2.912 2.912
Tb -1.664 1.664 6.241
Au 6.865 0.982 0.000
Au 3.594 0.000 2.288
Au 2.288 3.594 0.000
Au 0.000 2.288 3.594
Au 0.982 0.000 6.865
Au 0.000 6.865 0.982
```

Calculated values
E: -4.790 eV per atom
Energy of formation from the pure elements: -0.65 eV per atom



# 3
A geometry-optimized LaTb2Au3 structure. Source: Alexandria via LeMat-Bulk, functional GGA-PBE.

extended XYZ file:
```
6
Lattice="3.640 0.000 0.000 0.000 3.640 0.000 0.000 0.000 11.163" Properties=species:S:1:pos:R:3 pbc="T T T"
La 0.000 0.000 0.000
Tb 0.000 0.000 3.776
Tb 0.000 0.000 7.387
Au 1.820 1.820 2.078
Au 1.820 1.820 5.582
Au 1.820 1.820 9.085
```

Calculated values
E: -4.833 eV per atom
Energy of formation from the pure elements: -0.83 eV per atom



E of number 1 (LaTb3Au2)? -4.727 eV per atom



Among the records above, which one has the lowest energy of formation from the pure elements? LaTb2Au3



Copy entry 1 word for word.
A geometry-optimized LaTb3Au2 structure. Source: Alexandria via LeMat-Bulk, functional GGA-PBE.

extended XYZ file:
```
12
Lattice="8.161 -2.625 0.000 8.161 2.625 0.000 -3.748 0.000 7.865" Properties=species:S:1:pos:R:3 pbc="T T T"
La 1.431 0.000 1.573
La 11.143 0.000 6.292
Tb -1.696 0.000 5.722
Tb 1.230 0.000 7.845
Tb 4.316 0.000 3.849
Tb 8.259 0.000 4.017
Tb 11.345 0.000 0.021
Tb 14.270 0.000 2.144
Au 1.210 0.000 4.870
Au 7.515 0.000 1.261
Au 5.060 0.000 6.605
Au 11.364 0.000 2.995
```

Calculated values
E: -4.727 eV per atom
Energy of formation from the pure elements: -0.50 eV per atom